i) The following is a DFT calculation (PBE) of a geometry-optimized GdTh2Tl structure.

Properties
DOS at the Fermi energy in states/eV per atom: 1.12

```
data_GdTh2Tl
_chemical_formula_sum 'Gd1 Th2 Tl1'
_cell_length_a 4.851
_cell_length_b 4.851
_cell_length_c 5.098
_cell_angle_alpha 90.00
_cell_angle_beta 90.00
_cell_angle_gamma 90.00
_space_group_name_H-M_alt 'P 4/m m m'
_space_group_IT_number 123
_space_group_name_Hall '-P 4 2'
loop_
_atom_site_label
_atom_site_fract_x
_atom_site_fract_y
_atom_site_fract_z
Gd1 0.000 0.000 0.000
Th1 0.000 0.500 0.500
Tl1 0.500 0.500 0.000
```



ii) The following is a DFT calculation (PBE) of a geometry-optimized GdTh2Tl structure.

Properties
DOS at the Fermi energy in states/eV per atom: 1.66

```
data_GdTh2Tl
_chemical_formula_sum 'Gd1 Th2 Tl1'
_cell_length_a 4.222
_cell_length_b 4.222
_cell_length_c 6.959
_cell_angle_alpha 90.00
_cell_angle_beta 90.00
_cell_angle_gamma 90.00
_space_group_name_H-M_alt 'P 4/m m m'
_space_group_IT_number 123
_space_group_name_Hall '-P 4 2'
loop_
_atom_site_label
_atom_site_fract_x
_atom_site_fract_y
_atom_site_fract_z
Gd1 0.000 0.000 0.000
Th1 0.500 0.500 0.268
Tl1 0.000 0.000 0.500
```



Most stable = i)



i) The following is a DFT calculation (PBE) of a geometry-optimized GdThTl structure.

Properties
DOS at the Fermi energy in states/eV per atom: 1.22

```
data_GdThTl
_chemical_formula_sum 'Gd1 Th1 Tl1'
_cell_length_a 5.4748
_cell_length_b 5.4748
_cell_length_c 3.5196
_cell_angle_alpha 90.00
_cell_angle_beta 90.00
_cell_angle_gamma 120.00
_space_group_name_H-M_alt 'P 3 m 1'
_space_group_IT_number 156
loop_
_space_group_symop_operation_xyz
'x,y,z'
'-y,x-y,z'
'-x+y,-x,z'
'-y,-x,z'
'-x+y,y,z'
'x,x-y,z'
loop_
_atom_site_label
_atom_site_fract_x
_atom_site_fract_y
_atom_site_fract_z
Gd1 0.0000 0.0000 0.0000
Th1 0.6667 0.3333 0.5424
Tl1 0.3333 0.6667 0.2296
```



ii) The following is a DFT calculation (PBE) of a geometry-optimized GdThTl structure.

Properties
DOS at the Fermi energy in states/eV per atom: 1.26

```
data_GdThTl
_chemical_formula_sum 'Gd2 Th2 Tl2'
_cell_length_a 3.582
_cell_length_b 3.582
_cell_length_c 14.325
_cell_angle_alpha 90.00
_cell_angle_beta 90.00
_cell_angle_gamma 90.00
_space_group_name_H-M_alt 'I 4 m m'
_space_group_IT_number 107
_space_group_name_Hall 'I 4 -2'
loop_
_atom_site_label
_atom_site_fract_x
_atom_site_fract_y
_atom_site_fract_z
Gd1 0.000 0.000 0.000
Th1 0.000 0.000 0.684
Tl1 0.000 0.000 0.347
```



Most stable = ii)



i) The following is a DFT calculation (PBE) of a geometry-optimized Gd2TmTh structure.

Properties
DOS at the Fermi energy in states/eV per atom: 1.76

```
data_Gd2TmTh
_chemical_formula_sum 'Gd2 Tm1 Th1'
_cell_length_a 3.561
_cell_length_b 3.561
_cell_length_c 10.059
_cell_angle_alpha 90.00
_cell_angle_beta 90.00
_cell_angle_gamma 90.00
_space_group_name_H-M_alt 'P 4/m m m'
_space_group_IT_number 123
_space_group_name_Hall '-P 4 2'
loop_
_atom_site_label
_atom_site_fract_x
_atom_site_fract_y
_atom_site_fract_z
Gd1 0.000 0.000 0.246
Tm1 0.500 0.500 0.500
Th1 0.500 0.500 0.000
```



ii) The following is a DFT calculation (PBE) of a geometry-optimized Gd2TmTh structure.

Properties
DOS at the Fermi energy in states/eV per atom: 1.29

```
data_Gd2TmTh
_chemical_formula_sum 'Gd8 Tm4 Th4'
_cell_length_a 8.024
_cell_length_b 8.024
_cell_length_c 8.024
_cell_angle_alpha 90.00
_cell_angle_beta 90.00
_cell_angle_gamma 90.00
_space_group_name_H-M_alt 'F m -3 m'
_space_group_IT_number 225
_space_group_name_Hall '-F 4 2 3'
loop_
_atom_site_label
_atom_site_fract_x
_atom_site_fract_y
_atom_site_fract_z
Gd1 0.250 0.250 0.250
Tm1 0.000 0.000 0.000
Th1 0.000 0.000 0.500
```



Most stable = i)



i) The following is a DFT calculation (PBE) of a geometry-optimized GdTm2Th structure.

Properties
DOS at the Fermi energy in states/eV per atom: 1.76

```
data_GdTm2Th
_chemical_formula_sum 'Gd4 Tm8 Th4'
_cell_length_a 7.961
_cell_length_b 7.961
_cell_length_c 7.961
_cell_angle_alpha 90.00
_cell_angle_beta 90.00
_cell_angle_gamma 90.00
_space_group_name_H-M_alt 'F m -3 m'
_space_group_IT_number 225
_space_group_name_Hall '-F 4 2 3'
loop_
_atom_site_label
_atom_site_fract_x
_atom_site_fract_y
_atom_site_fract_z
Gd1 0.000 0.000 0.000
Tm1 0.250 0.250 0.250
Th1 0.000 0.000 0.500
```



ii) The following is a DFT calculation (PBE) of a geometry-optimized GdTm2Th structure.

Properties
DOS at the Fermi energy in states/eV per atom: 1.59

```
data_GdTm2Th
_chemical_formula_sum 'Gd1 Tm2 Th1'
_cell_length_a 4.085
_cell_length_b 4.085
_cell_length_c 7.540
_cell_angle_alpha 90.00
_cell_angle_beta 90.00
_cell_angle_gamma 90.00
_space_group_name_H-M_alt 'P 4/m m m'
_space_group_IT_number 123
_space_group_name_Hall '-P 4 2'
loop_
_atom_site_label
_atom_site_fract_x
_atom_site_fract_y
_atom_site_fract_z
Gd1 0.000 0.000 0.000
Tm1 0.500 0.500 0.254
Th1 0.000 0.000 0.500
```



Most stable = ii)



i) The following is a DFT calculation (PBE) of a geometry-optimized GdTm2Th structure.

Properties
DOS at the Fermi energy in states/eV per atom: 1.20

```
data_GdTm2Th
_chemical_formula_sum 'Gd1 Tm2 Th1'
_cell_length_a 5.034
_cell_length_b 5.034
_cell_length_c 4.917
_cell_angle_alpha 90.00
_cell_angle_beta 90.00
_cell_angle_gamma 90.00
_space_group_name_H-M_alt 'P 4/m m m'
_space_group_IT_number 123
_space_group_name_Hall '-P 4 2'
loop_
_atom_site_label
_atom_site_fract_x
_atom_site_fract_y
_atom_site_fract_z
Gd1 0.000 0.000 0.000
Tm1 0.000 0.500 0.500
Th1 0.500 0.500 0.000
```



ii) The following is a DFT calculation (PBE) of a geometry-optimized GdTm2Th structure.

Properties
DOS at the Fermi energy in states/eV per atom: 1.46

```
data_GdTm2Th
_chemical_formula_sum 'Gd3 Tm6 Th3'
_cell_length_a 3.5513
_cell_length_b 3.5513
_cell_length_c 34.2729
_cell_angle_alpha 90.00
_cell_angle_beta 90.00
_cell_angle_gamma 120.00
_space_group_name_H-M_alt 'R -3 m'
_space_group_IT_number 166
_space_group_name_Hall '-R 3 2"'
loop_
_atom_site_label
_atom_site_fract_x
_atom_site_fract_y
_atom_site_fract_z
Gd1 0.0000 0.0000 0.0000
Tm1 0.0000 0.0000 0.2483
Th1 0.0000 0.0000 0.5000
```



Most stable = ii)



i) The following is a DFT calculation (PBE) of a geometry-optimized GdTmTh2 structure.

Properties
DOS at the Fermi energy in states/eV per atom: 1.60

```
data_GdTmTh2
_chemical_formula_sum 'Gd1 Tm1 Th2'
_cell_length_a 5.010
_cell_length_b 5.010
_cell_length_c 5.053
_cell_angle_alpha 90.00
_cell_angle_beta 90.00
_cell_angle_gamma 90.00
_space_group_name_H-M_alt 'P 4/m m m'
_space_group_IT_number 123
_space_group_name_Hall '-P 4 2'
loop_
_atom_site_label
_atom_site_fract_x
_atom_site_fract_y
_atom_site_fract_z
Gd1 0.000 0.000 0.000
Tm1 0.500 0.500 0.000
Th1 0.000 0.500 0.500
```



ii) The following is a DFT calculation (PBE) of a geometry-optimized GdTmTh2 structure.

Properties
DOS at the Fermi energy in states/eV per atom: 1.53

```
data_GdTmTh2
_chemical_formula_sum 'Gd1 Tm1 Th2'
_cell_length_a 4.153
_cell_length_b 4.153
_cell_length_c 7.351
_cell_angle_alpha 90.00
_cell_angle_beta 90.00
_cell_angle_gamma 90.00
_space_group_name_H-M_alt 'P 4/m m m'
_space_group_IT_number 123
_space_group_name_Hall '-P 4 2'
loop_
_atom_site_label
_atom_site_fract_x
_atom_site_fract_y
_atom_site_fract_z
Gd1 0.000 0.000 0.000
Tm1 0.000 0.000 0.500
Th1 0.500 0.500 0.254
```



iii) The following is a DFT calculation (PBE) of a geometry-optimized GdTmTh2 structure.

Properties
DOS at the Fermi energy in states/eV per atom: 1.68

```
data_GdTmTh2
_chemical_formula_sum 'Gd3 Tm3 Th6'
_cell_length_a 3.4525
_cell_length_b 3.4525
_cell_length_c 37.6490
_cell_angle_alpha 90.00
_cell_angle_beta 90.00
_cell_angle_gamma 120.00
_space_group_name_H-M_alt 'R -3 m'
_space_group_IT_number 166
_space_group_name_Hall '-R 3 2"'
loop_
_atom_site_label
_atom_site_fract_x
_atom_site_fract_y
_atom_site_fract_z
Gd1 0.0000 0.0000 0.0000
Tm1 0.0000 0.0000 0.5000
Th1 0.0000 0.0000 0.4137
```



iv) The following is a DFT calculation (PBE) of a geometry-optimized GdTmTh2 structure.

Properties
DOS at the Fermi energy in states/eV per atom: 1.66

```
data_GdTmTh2
_chemical_formula_sum 'Gd4 Tm4 Th8'
_cell_length_a 7.974
_cell_length_b 7.974
_cell_length_c 7.974
_cell_angle_alpha 90.00
_cell_angle_beta 90.00
_cell_angle_gamma 90.00
_space_group_name_H-M_alt 'F m -3 m'
_space_group_IT_number 225
_space_group_name_Hall '-F 4 2 3'
loop_
_atom_site_label
_atom_site_fract_x
_atom_site_fract_y
_atom_site_fract_z
Gd1 0.000 0.000 0.000
Tm1 0.000 0.000 0.500
Th1 0.250 0.250 0.250
```



Most stable = i)